# Pm6Dy3Tm2In

A relaxed structure of Pm6Dy3Tm2In (PBE, Alexandria).

Geometry as CIF:
```
data_Pm6Dy3Tm2In
_cell_length_a 6.183
_cell_length_b 6.183
_cell_length_c 11.720
_cell_angle_alpha 95.10
_cell_angle_beta 95.10
_cell_angle_gamma 120.12
_space_group_name_H-M_alt 'P 1'
_space_group_IT_number 1
_space_group_name_Hall 'P 1'
loop_
_atom_site_label
_atom_site_fract_x
_atom_site_fract_y
_atom_site_fract_z
Pm1 0.919 0.590 0.754
Pm2 0.754 0.754 0.248
Pm3 0.081 0.410 0.246
Pm4 0.590 0.919 0.754
Pm5 0.246 0.246 0.752
Pm6 0.410 0.081 0.246
Dy1 0.168 0.832 0.500
Dy2 0.832 0.168 0.500
Dy3 0.500 0.500 0.500
Tm1 0.334 0.666 0.000
Tm2 0.666 0.334 0.000
In1 0.000 0.000 0.000
```

Properties
E_form: -31 meV per atom
Spin magnetization: 0.0 μB per cell
Symmetry: C2/m, No. 12